VASP calculation (PBE) on CaTlOs2 after structural relaxation.

Cell lengths 5.626, 5.626, 5.626 Å; angles 147.04, 128.45, 62.56 degrees
Element x y z (fractional)
Ca1 0.000 0.000 0.000
Tl1 0.500 0.500 0.000
Os1 0.261 0.761 0.500
Os2 0.739 0.239 0.500

Computed properties:
- calculated volume (Å³/cell) = 75.1
- N(E_F) (states/eV per cell) = 5.875
- excess energy over the best structure of this formula in the dataset (eV/atom) = 0.622
- space group = Immm, No. 71
- formation energy (kJ/mol of atoms) = 88.7
- DFT total energy (eV/atom) = -5.788